PrHoErCu (PBE-GGA, relaxed); DFT total energy = -18.452 eV/cell; formation energy = -0.1088 eV/atom; M_tot = 0.0 μB per cell; theoretical density = 8.29 g cm⁻³
1.0
3.512 0.000 0.000
0.000 3.512 0.000
0.000 0.000 8.718
Cu Pr Er Ho
1 1 1 1
direct
0.000 0.000 0.569
0.000 0.000 0.072
0.500 0.500 0.381
0.500 0.500 0.762



HoErCuRe (PBE-GGA, relaxed); DFT total energy = -25.691 eV/cell; formation energy = -0.0015 eV/atom; M_tot = 0.0 μB per cell; theoretical density = 12.05 g cm⁻³
1.0
-1.137 4.682 -0.461
-4.514 1.289 -1.180
-2.844 2.135 3.284
Er Ho Re Cu
1 1 1 1
direct
0.000 0.000 0.000
0.500 0.500 0.500
0.250 0.250 0.250
0.750 0.750 0.750



Ho3Er3CuRu2 (PBE-GGA, relaxed); DFT total energy = -52.065 eV/cell; formation energy = -0.2217 eV/atom; M_tot = 0.0 μB per cell; theoretical density = 9.80 g cm⁻³
1.0
-0.788 -3.875 2.654
-3.241 -3.173 -5.595
7.094 -0.780 0.969
Ru Er Ho Cu
2 3 3 1
direct
0.500 0.667 0.333
0.500 0.333 0.667
0.000 0.415 0.000
0.000 0.000 0.415
0.000 0.585 0.585
0.500 0.732 0.000
0.500 0.268 0.268
0.500 0.000 0.732
0.000 0.000 0.000



Ho2ErCuS5 (PBE-GGA, relaxed); energy relative to the elements, uncorrected = -1.71 eV per atom; DFT total energy = -107.594 eV/cell; M_tot = 0.0 μB per cell; theoretical density = 6.66 g cm⁻³
1.0
-3.325 0.301 -1.825
5.589 -0.887 -6.364
-1.273 -11.300 0.456
S Ho Er Cu
10 4 2 2
direct
0.642 0.284 0.501
0.958 0.915 0.565
0.317 0.634 0.344
0.289 0.578 0.677
0.711 0.422 0.177
0.683 0.366 0.844
0.358 0.716 0.001
0.042 0.085 0.065
0.497 0.995 0.779
0.503 0.005 0.279
0.120 0.241 0.307
0.106 0.213 0.684
0.894 0.787 0.184
0.880 0.759 0.807
0.195 0.389 0.010
0.805 0.611 0.510
0.558 0.116 0.956
0.442 0.884 0.456



Ho4ErCuS8 (PBE-GGA, relaxed); energy relative to the elements, uncorrected = -1.82 eV per atom; DFT total energy = -85.438 eV/cell; M_tot = 0.0 μB per cell; theoretical density = 5.51 g cm⁻³
1.0
7.884 0.000 0.000
3.942 6.828 0.000
3.942 2.276 6.426
Ho Cu S Er
4 1 8 1
direct
0.005 0.005 0.505
0.486 0.005 0.505
0.625 0.625 0.125
0.005 0.486 0.505
0.374 0.374 0.878
0.759 0.759 0.723
0.760 0.223 0.258
0.248 0.248 0.255
0.248 0.248 0.749
0.223 0.760 0.258
0.248 0.756 0.749
0.760 0.760 0.258
0.756 0.248 0.749
0.005 0.005 0.985



HoEr4CuS8 (PBE-GGA, relaxed); energy relative to the elements, uncorrected = -1.82 eV per atom; DFT total energy = -85.418 eV/cell; M_tot = 0.0 μB per cell; theoretical density = 5.58 g cm⁻³
1.0
7.856 0.000 0.000
3.928 6.804 0.000
3.928 2.268 6.425
Er S Cu Ho
4 8 1 1
direct
0.005 0.005 0.505
0.486 0.005 0.505
0.625 0.625 0.124
0.005 0.486 0.505
0.759 0.759 0.723
0.249 0.756 0.747
0.756 0.249 0.747
0.249 0.249 0.747
0.758 0.758 0.260
0.248 0.248 0.256
0.758 0.224 0.260
0.224 0.758 0.260
0.374 0.374 0.878
0.005 0.005 0.985



Ho2ErCuSe5 (PBE-GGA, relaxed); energy relative to the elements, uncorrected = -1.52 eV per atom; DFT total energy = -97.796 eV/cell; M_tot = 0.0 μB per cell; theoretical density = 7.70 g cm⁻³
1.0
-3.462 1.681 -0.959
-2.201 -5.345 6.780
2.176 8.880 7.706
Ho Cu Se Er
4 2 10 2
direct
0.108 0.215 0.684
0.122 0.244 0.306
0.892 0.785 0.184
0.878 0.756 0.806
0.436 0.872 0.457
0.564 0.128 0.957
0.315 0.629 0.342
0.288 0.576 0.677
0.041 0.083 0.067
0.685 0.371 0.842
0.498 0.996 0.781
0.357 0.714 0.001
0.502 0.004 0.281
0.959 0.917 0.567
0.712 0.424 0.177
0.643 0.286 0.501
0.193 0.385 0.010
0.807 0.615 0.510



HoEr2CuSe5 (PBE-GGA, relaxed); energy relative to the elements, uncorrected = -1.50 eV per atom; DFT total energy = -97.493 eV/cell; M_tot = 0.0 μB per cell; theoretical density = 7.73 g cm⁻³
1.0
3.959 0.000 0.000
-1.979 8.706 0.000
0.000 0.000 11.936
Se Er Ho Cu
10 4 2 2
direct
0.502 0.004 0.281
0.316 0.632 0.341
0.959 0.918 0.567
0.041 0.082 0.067
0.288 0.577 0.678
0.684 0.368 0.841
0.643 0.285 0.501
0.498 0.996 0.781
0.712 0.423 0.178
0.357 0.715 0.001
0.879 0.758 0.805
0.121 0.242 0.305
0.107 0.215 0.684
0.893 0.785 0.184
0.192 0.385 0.010
0.808 0.615 0.510
0.436 0.872 0.457
0.564 0.128 0.957



HoErCu2Si2 (PBE-GGA, relaxed); energy relative to the elements, uncorrected = -0.67 eV per atom; DFT total energy = -32.211 eV/cell; M_tot = 0.0 μB per cell; theoretical density = 7.82 g cm⁻³
1.0
-3.569 0.642 2.010
0.026 -2.158 -3.540
1.021 -6.213 3.795
Si Cu Ho Er
2 2 1 1
direct
0.667 0.333 0.749
0.333 0.667 0.251
0.667 0.333 0.253
0.333 0.667 0.747
0.000 0.000 0.000
0.000 0.000 0.500



SmHoErCu (PBE-GGA, relaxed); DFT total energy = -18.388 eV/cell; formation energy = -0.1080 eV/atom; M_tot = 0.0 μB per cell; theoretical density = 8.60 g cm⁻³
1.0
3.487 0.000 0.000
0.000 3.487 0.000
0.000 0.000 8.671
Ho Er Cu Sm
1 1 1 1
direct
0.500 0.500 0.765
0.500 0.500 0.378
0.000 0.000 0.569
0.000 0.000 0.072